A.
CuOs3 | GGA-PBE | relaxed

Structure (POSCAR):
```
CuOs3
1.0
-2.638 0.543 -0.464
0.544 -0.559 -3.749
-3.809 -4.589 0.132
Os Cu
3 1
direct
0.500 0.000 0.500 Os
0.261 0.500 0.243 Os
0.739 0.500 0.757 Os
0.000 0.000 0.000 Cu
```

Results
As for the space group: P2/m (10).


B.
CuOs3 | GGA-PBE | relaxed

Structure (POSCAR):
```
CuOs3
1.0
-4.708 0.995 0.602
0.554 -0.286 4.809
1.022 4.737 0.164
Cu Os
2 6
direct
0.000 0.000 0.000 Cu
0.500 0.500 0.500 Cu
0.000 0.750 0.500 Os
0.750 0.500 0.000 Os
0.250 0.500 0.000 Os
0.500 0.000 0.250 Os
0.500 0.000 0.750 Os
0.000 0.250 0.500 Os
```

Results
As for the space group: Pm-3n (223).


C.
CuOs3 | GGA-PBE | relaxed

Structure (POSCAR):
```
CuOs3
1.0
4.683 0.010 0.000
-1.598 4.402 0.000
0.000 0.000 2.710
Os Cu
3 1
direct
0.000 0.500 0.500 Os
0.500 0.000 0.500 Os
0.500 0.500 0.000 Os
0.000 0.000 0.000 Cu
```

Results
As for the space group: Cmmm (65).


D.
CuOs3 | GGA-PBE | relaxed

Structure (POSCAR):
```
CuOs3
1.0
2.721 -4.713 0.000
2.721 4.713 0.000
0.000 0.000 4.326
Os Cu
6 2
direct
0.656 0.828 0.750 Os
0.344 0.172 0.250 Os
0.172 0.828 0.750 Os
0.172 0.344 0.750 Os
0.828 0.172 0.250 Os
0.828 0.656 0.250 Os
0.667 0.333 0.750 Cu
0.333 0.667 0.250 Cu
```

Results
As for the space group: P6_3/mmc (194).


The calculated energies rank the structures as follows, beginning with the most stable: A, D, C, B.


A.
CuOs3 | GGA-PBE | relaxed

Structure (POSCAR):
```
CuOs3
1.0
2.691 0.000 0.000
-0.897 4.946 0.000
-0.897 -2.473 4.283
Os Cu
3 1
direct
0.000 0.500 0.500 Os
0.500 0.000 0.500 Os
0.500 0.500 0.000 Os
0.000 0.000 0.000 Cu
```

Results
As for the space group: R-3m (166).


B.
CuOs3 | GGA-PBE | relaxed

Structure (POSCAR):
```
CuOs3
1.0
2.727 0.000 0.000
0.000 2.727 0.000
0.000 0.000 7.468
Os Cu
3 1
direct
0.500 0.500 0.753 Os
0.000 0.000 0.500 Os
0.500 0.500 0.247 Os
0.000 0.000 0.000 Cu
```

Results
As for the space group: P4/mmm (123).


C.
CuOs3 | GGA-PBE | relaxed

Structure (POSCAR):
```
CuOs3
1.0
4.660 0.000 0.000
-2.330 4.559 -0.001
0.000 0.835 2.629
Os Cu
3 1
direct
0.494 0.000 0.500 Os
0.095 0.511 0.244 Os
0.584 0.489 0.756 Os
0.993 0.000 0.000 Cu
```

Results
As for the space group: Imm2 (44).


The calculated energies rank the structures as follows, beginning with the most stable: B, C, A.


A.
CuOs3 | GGA-PBE | relaxed

Structure (POSCAR):
```
CuOs3
1.0
4.329 0.000 0.000
0.000 4.743 0.000
0.000 0.000 5.402
Os Cu
6 2
direct
0.000 0.840 0.740 Os
0.500 0.655 0.000 Os
0.000 0.840 0.260 Os
0.500 0.160 0.240 Os
0.500 0.160 0.760 Os
0.000 0.345 0.500 Os
0.500 0.654 0.500 Cu
0.000 0.346 0.000 Cu
```

Results
As for the space group: Pmmn (59).


B.
CuOs3 | GGA-PBE | relaxed

Structure (POSCAR):
```
CuOs3
1.0
-2.708 0.426 -2.575
1.455 -4.495 0.472
-2.316 -2.104 2.087
Os Cu
3 1
direct
0.250 0.500 0.250 Os
0.500 0.000 0.500 Os
0.750 0.500 0.750 Os
0.000 0.000 0.000 Cu
```

Results
As for the space group: I4/mmm (139).


The calculated energies rank the structures as follows, beginning with the most stable: A, B.


A.
CuOs3 | GGA-PBE | relaxed

Structure (POSCAR):
```
CuOs3
1.0
2.712 0.000 0.000
-1.356 4.512 0.002
0.000 -0.771 4.568
Os Cu
3 1
direct
0.500 0.000 0.500 Os
0.757 0.513 0.252 Os
0.243 0.487 0.748 Os
0.000 0.000 0.000 Cu
```

Results
As for the space group: C2/m (12).


B.
CuOs3 | GGA-PBE | relaxed

Structure (POSCAR):
```
CuOs3
1.0
2.699 -4.756 0.000
2.699 4.756 0.000
0.000 0.000 4.332
Cu Os
2 6
direct
0.421 0.579 0.750 Cu
0.579 0.421 0.250 Cu
0.079 0.921 0.250 Os
0.094 0.430 0.250 Os
0.570 0.906 0.250 Os
0.921 0.079 0.750 Os
0.906 0.570 0.750 Os
0.430 0.094 0.750 Os
```

Results
As for the space group: Cmcm (63).


The calculated energies rank the structures as follows, beginning with the most stable: B, A.


A.
CuOs3 | GGA-PBE | relaxed

Structure (POSCAR):
```
CuOs3
1.0
-2.639 0.133 -0.719
1.939 -0.137 -1.929
-0.473 -8.628 0.139
Cu Os
1 3
direct
0.000 0.000 0.000 Cu
0.000 0.000 0.500 Os
0.667 0.333 0.254 Os
0.667 0.333 0.746 Os
```

Results
As for the space group: P-6m2 (187).


B.
CuOs3 | GGA-PBE | relaxed

Structure (POSCAR):
```
CuOs3
1.0
-1.901 1.901 7.712
1.901 -1.901 7.712
1.901 1.901 -7.712
Cu Os
2 6
direct
0.379 0.379 0.000 Cu
0.621 0.621 0.000 Cu
0.127 0.127 0.000 Os
0.750 0.250 0.500 Os
0.000 0.500 0.500 Os
0.500 0.000 0.500 Os
0.873 0.873 0.000 Os
0.250 0.750 0.500 Os
```

Results
As for the space group: I4/mmm (139).


C.
CuOs3 | GGA-PBE | relaxed

Structure (POSCAR):
```
CuOs3
1.0
2.749 0.000 0.000
0.000 4.312 0.000
0.000 0.000 4.691
Os Cu
3 1
direct
0.000 0.500 0.321 Os
0.500 0.000 0.510 Os
0.500 0.500 0.834 Os
0.000 0.000 0.002 Cu
```

Results
As for the space group: Pmm2 (25).


D.
CuOs3 | GGA-PBE | relaxed

Structure (POSCAR):
```
CuOs3
1.0
3.824 0.000 0.000
0.000 3.824 0.000
0.000 0.000 3.824
Cu Os
1 3
direct
0.000 0.000 0.000 Cu
0.500 0.000 0.500 Os
0.000 0.500 0.500 Os
0.500 0.500 0.000 Os
```

Results
As for the space group: Pm-3m (221).


The calculated energies rank the structures as follows, beginning with the most stable: A, C, B, D.


A.
CuOs5 | GGA-PBE | relaxed

Structure (POSCAR):
```
CuOs5
1.0
0.000 3.597 3.597
3.597 0.000 3.597
3.597 3.597 0.000
Os Cu
5 1
direct
0.875 0.375 0.375 Os
0.375 0.375 0.375 Os
0.750 0.750 0.750 Os
0.375 0.875 0.375 Os
0.375 0.375 0.875 Os
0.000 0.000 0.000 Cu
```

Results
As for the space group: F-43m (216).


B.
CuOs5 | GGA-PBE | relaxed

Structure (POSCAR):
```
CuOs5
1.0
-2.696 -0.205 -0.447
0.148 -2.714 0.349
-1.925 1.312 11.014
Cu Os
1 5
direct
0.500 0.500 0.500 Cu
0.000 0.000 0.664 Os
0.000 0.000 0.000 Os
0.500 0.500 0.826 Os
0.500 0.500 0.174 Os
0.000 0.000 0.336 Os
```

Results
As for the space group: P4/mmm (123).


The calculated energies rank the structures as follows, beginning with the most stable: B, A.


A.
CuOs5 | GGA-PBE | relaxed

Structure (POSCAR):
```
CuOs5
1.0
1.915 -5.762 0.000
1.915 5.762 0.000
0.000 0.000 3.848
Os Cu
5 1
direct
0.332 0.668 0.500 Os
0.000 0.000 0.500 Os
0.828 0.172 0.000 Os
0.172 0.828 0.000 Os
0.668 0.332 0.500 Os
0.500 0.500 0.000 Cu
```

Results
As for the space group: Cmmm (65).


B.
CuOs5 | GGA-PBE | relaxed

Structure (POSCAR):
```
CuOs5
1.0
1.380 4.958 0.002
-1.380 4.958 0.002
0.000 1.562 6.182
Os Cu
5 1
direct
0.275 0.275 0.938 Os
0.667 0.667 0.666 Os
0.332 0.332 0.337 Os
0.615 0.615 0.277 Os
0.945 0.945 0.613 Os
0.999 0.999 0.002 Cu
```

Results
As for the space group: Cm (8).


C.
CuOs5 | GGA-PBE | relaxed

Structure (POSCAR):
```
CuOs5
1.0
2.500 -4.331 0.000
2.500 4.331 0.000
0.000 0.000 4.565
Os Cu
5 1
direct
0.667 0.333 0.000 Os
0.500 0.000 0.500 Os
0.000 0.500 0.500 Os
0.500 0.500 0.500 Os
0.333 0.667 0.000 Os
0.000 0.000 0.000 Cu
```

Results
As for the space group: P6/mmm (191).


The calculated energies rank the structures as follows, beginning with the most stable: B, A, C.


A.
Cu2Os | GGA-PBE | relaxed

Structure (POSCAR):
```
Cu2Os
1.0
6.042 -0.001 0.000
4.928 3.497 0.000
-5.485 -1.748 1.835
Cu Os
2 1
direct
0.003 0.003 0.000 Cu
0.663 0.663 0.000 Cu
0.333 0.333 0.000 Os
```

Results
As for the space group: I4/mmm (139).


B.
Cu2Os | GGA-PBE | relaxed

Structure (POSCAR):
```
Cu2Os
1.0
1.267 -6.989 0.000
1.267 6.989 0.000
0.000 0.000 4.403
Os Cu
2 4
direct
0.111 0.889 0.750 Os
0.889 0.111 0.250 Os
0.559 0.441 0.250 Cu
0.222 0.778 0.250 Cu
0.441 0.559 0.750 Cu
0.778 0.222 0.750 Cu
```

Results
As for the space group: Cmcm (63).


The calculated energies rank the structures as follows, beginning with the most stable: A, B.


A.
Cu2Os | GGA-PBE | relaxed

Structure (POSCAR):
```
Cu2Os
1.0
3.202 -2.903 2.324
-0.466 4.743 1.171
-4.370 -1.926 1.132
Cu Os
4 2
direct
0.347 0.153 0.500 Cu
0.847 0.347 0.194 Cu
0.653 0.847 0.500 Cu
0.153 0.653 0.806 Cu
0.250 0.250 0.000 Os
0.750 0.750 0.000 Os
```

Results
As for the space group: I4/mcm (140).


B.
Cu2Os | GGA-PBE | relaxed

Structure (POSCAR):
```
Cu2Os
1.0
-1.920 -1.014 -4.746
-1.976 -2.967 1.433
-6.095 4.760 1.450
Os Cu
4 8
direct
0.902 0.750 0.071 Os
0.402 0.750 0.429 Os
0.098 0.250 0.929 Os
0.598 0.250 0.571 Os
0.129 0.250 0.257 Cu
0.371 0.750 0.757 Cu
0.899 0.750 0.410 Cu
0.871 0.750 0.743 Cu
0.601 0.250 0.910 Cu
0.399 0.750 0.090 Cu
0.629 0.250 0.243 Cu
0.101 0.250 0.590 Cu
```

Results
As for the space group: Pnma (62).


The calculated energies rank the structures as follows, beginning with the most stable: B, A.


A.
Cu2Os | GGA-PBE | relaxed

Structure (POSCAR):
```
Cu2Os
1.0
-2.493 3.584 -1.033
-3.693 -2.544 0.085
-0.287 0.498 2.423
Os Cu
1 2
direct
0.000 0.000 0.000 Os
0.500 0.000 0.500 Cu
0.000 0.500 0.500 Cu
```

Results
As for the space group: P4/mmm (123).


B.
Cu2Os | GGA-PBE | relaxed

Structure (POSCAR):
```
Cu2Os
1.0
3.779 0.000 0.000
0.000 3.779 0.000
-1.890 -1.890 10.873
Os Cu
4 8
direct
0.337 0.837 0.673 Os
0.913 0.913 0.827 Os
0.163 0.663 0.327 Os
0.087 0.087 0.173 Os
0.830 0.330 0.661 Cu
0.420 0.420 0.839 Cu
0.503 0.003 0.006 Cu
0.253 0.253 0.506 Cu
0.580 0.580 0.161 Cu
0.997 0.497 0.994 Cu
0.670 0.170 0.339 Cu
0.747 0.747 0.494 Cu
```

Results
As for the space group: I4_1/amd (141).


C.
Cu2Os | GGA-PBE | relaxed

Structure (POSCAR):
```
Cu2Os
1.0
1.511 -4.017 -2.724
1.764 -4.762 -0.217
-5.134 -3.604 -0.553
Cu Os
4 2
direct
0.658 0.658 0.668 Cu
0.005 0.005 0.009 Cu
0.615 0.615 0.279 Cu
0.334 0.334 0.329 Cu
0.938 0.938 0.609 Os
0.284 0.284 0.939 Os
```

Results
As for the space group: Cm (8).


The calculated energies rank the structures as follows, beginning with the most stable: C, B, A.